Entry 1:
Ce2TmSc3Se6 | Alexandria | PBE | optimized geometry; formation energy from raw total energies = -1.6737 eV per atom; energy = -76.3 eV per cell; N(E_F) = 1.251 states/eV per atom; magnetic moment = 1.88 μB per formula unit
1.0
-1.0061 6.7102 -1.3614
-2.2510 -2.7032 5.9597
6.8623 0.1002 1.2957
Se Ce Sc Tm
6 2 3 1
direct
0.0901 0.4150 0.2707
0.7657 0.7657 0.2704
0.2343 0.2343 0.7296
0.5850 0.9099 0.7293
0.9099 0.5850 0.7293
0.4150 0.0901 0.2707
0.6665 0.3335 0.0000
0.3335 0.6665 0.0000
0.8324 0.1676 0.5000
0.5000 0.5000 0.5000
0.1676 0.8324 0.5000
0.0000 0.0000 0.0000

***

Entry 2:
Pd2Au2I7 | Alexandria | PBE | optimized geometry; formation energy from raw total energies = -0.0013 eV per atom; energy = -27.8 eV per cell; N(E_F) = 0.694 states/eV per atom; magnetic moment = 0.00 μB per formula unit
1.0
-2.4197 5.2862 5.7173
4.1682 -3.6997 4.9479
3.3444 5.4362 -3.8478
I Pd Au
7 2 2
direct
0.7891 0.3819 0.3819
0.5000 0.0000 0.0000
0.1798 0.0384 0.3966
0.2109 0.6181 0.6181
0.8202 0.6034 0.9616
0.8202 0.9616 0.6034
0.1798 0.3966 0.0384
0.0000 0.6716 0.3284
0.0000 0.3284 0.6716
0.5909 0.6621 0.6621
0.4091 0.3379 0.3379

***

Entry 3:
CeHgIr | Alexandria | PBE | optimized geometry; energy above the lowest structure with this stoichiometry = 0.0 kJ per mole of atoms; energy of formation from the pure elements = -0.607 eV/atom; energy = -33.8 eV per cell; N(E_F) = 0.954 states/eV per atom; magnetic moment = 0.00 μB per formula unit
1.0
4.0115 0.0000 0.0000
0.0000 3.6980 -0.8578
0.0000 0.1769 9.1622
Ce Hg Ir
2 2 2
direct
0.7500 0.0923 0.1846
0.2500 0.9077 0.8154
0.7500 0.2879 0.5759
0.2500 0.7121 0.4241
0.7500 0.4432 0.8864
0.2500 0.5568 0.1136

***

Entry 4:
Sr8AuN4 | Alexandria | PBE | optimized geometry; energy above the lowest structure with this stoichiometry = 0.0 kJ per mole of atoms; formation energy from raw total energies = -0.5872 eV per atom; energy = -57.7 eV per cell; N(E_F) = 0.209 states/eV per atom; magnetic moment = 0.00 μB per formula unit
1.0
-4.4585 5.6726 -2.8471
-5.7562 2.9331 4.2925
1.1540 7.8214 3.2109
Sr N Au
8 4 1
direct
0.2295 0.7298 0.8111
0.7290 0.7290 0.8130
0.2295 0.2295 0.8111
0.2702 0.7705 0.1889
0.7298 0.2295 0.8111
0.7705 0.7705 0.1889
0.2710 0.2710 0.1870
0.7705 0.2702 0.1889
0.5000 0.5000 0.0000
0.5000 0.0000 0.0000
0.0000 0.5000 0.0000
0.0000 0.0000 0.0000
0.5000 0.5000 0.5000

***

Which value of energy does entry 4 give? -57.7 eV per cell

***

The lowest N(E_F) belongs to which entry? Sr8AuN4